1.
The following is a PBE-GGA calculation of an optimized crystal structure of BeIrW3, from Alexandria via LeMat-Bulk.

abc: 4.193 4.193 4.193
angles: 90.00 90.00 90.00
Positions (direct):
W (0.000, 0.500, 0.000)
W (0.500, 0.000, 0.000)
W (0.000, 0.000, 0.500)
Ir (0.500, 0.500, 0.500)
Be (0.000, 0.000, 0.000)

Results
The energy above the most stable polymorph in this dataset comes out at 0 meV/atom. Its density is 16.96 g cm⁻³. Its calculated formation energy is 3.24 eV per formula unit. For the density of states at the Fermi level, the calculation gives 0.6067 states/eV/atom.

---

2.
The following is a PBE-GGA calculation of an optimized crystal structure of BeIrW2, from Alexandria via LeMat-Bulk.

abc: 2.749 2.749 7.306
angles: 90.00 90.00 90.04
Positions (direct):
W (0.000, 0.000, 0.478)
W (0.000, 0.000, 0.022)
Be (0.500, 0.500, 0.250)
Ir (0.500, 0.500, 0.750)

Results
Its density is 17.11 g cm⁻³. Its calculated formation energy is -0.25 eV per formula unit. For the density of states at the Fermi level, the calculation gives 0.2437 states/eV/atom.

---

3.
The following is a PBE-GGA calculation of an optimized crystal structure of BeIrW2, from Alexandria via LeMat-Bulk.

abc: 2.765 2.765 7.190
angles: 90.00 90.00 90.00
Positions (direct):
Be (0.000, 0.000, 0.526)
W (0.000, 0.000, 0.974)
W (0.500, 0.500, 0.289)
Ir (0.500, 0.500, 0.710)

Results
Its density is 17.18 g cm⁻³. Its calculated formation energy is -0.63 eV per formula unit. For the density of states at the Fermi level, the calculation gives 0.4410 states/eV/atom.

---

4.
The following is a PBE-GGA calculation of an optimized crystal structure of BeIrW2, from Alexandria via LeMat-Bulk.

abc: 4.331 4.331 4.331
angles: 60.00 60.00 60.00
Positions (direct):
Be (0.500, 0.500, 0.500)
Ir (0.750, 0.750, 0.750)
W (0.250, 0.250, 0.250)
W (0.000, 0.000, 0.000)

Results
Its density is 16.44 g cm⁻³. Its calculated formation energy is 0.41 eV per formula unit. For the density of states at the Fermi level, the calculation gives 0.7122 states/eV/atom.

---

5.
The following is a PBE-GGA calculation of an optimized crystal structure of Be2IrW, from Alexandria via LeMat-Bulk.

abc: 4.211 4.211 4.702
angles: 75.69 75.69 38.24
Positions (direct):
Be (0.493, 0.493, 0.544)
Be (0.007, 0.007, 0.956)
W (0.250, 0.250, 0.250)
Ir (0.750, 0.750, 0.750)

Results
The energy above the most stable polymorph in this dataset comes out at 276 meV/atom. Its density is 13.13 g cm⁻³. Its calculated formation energy is 0.03 eV per formula unit. For the density of states at the Fermi level, the calculation gives 0.5270 states/eV/atom.

---

6.
The following is a PBE-GGA calculation of an optimized crystal structure of BeIrW2, from Alexandria via LeMat-Bulk.

abc: 4.811 4.811 4.811
angles: 137.97 128.82 68.30
Positions (direct):
W (0.745, 0.245, 0.500)
W (0.002, 0.002, 0.000)
Be (0.490, 0.490, 0.000)
Ir (0.263, 0.763, 0.500)

Results
Its density is 16.54 g cm⁻³. Its calculated formation energy is 0.42 eV per formula unit. For the density of states at the Fermi level, the calculation gives 0.6742 states/eV/atom.

---

7.
The following is a PBE-GGA calculation of an optimized crystal structure of Be2IrW, from Alexandria via LeMat-Bulk.

abc: 3.845 2.746 4.747
angles: 89.66 90.00 90.00
Positions (direct):
W (0.500, 0.750, 0.750)
Be (0.000, 0.243, 0.983)
Be (0.000, 0.257, 0.517)
Ir (0.500, 0.250, 0.250)

Results
The energy above the most stable polymorph in this dataset comes out at 201 meV/atom. Its density is 13.06 g cm⁻³. Its calculated formation energy is -0.27 eV per formula unit. For the density of states at the Fermi level, the calculation gives 0.4171 states/eV/atom.

---

8.
The following is a PBE-GGA calculation of an optimized crystal structure of BeIrW, from Alexandria via LeMat-Bulk.

abc: 4.074 4.074 2.763
angles: 90.00 90.00 120.00
Positions (direct):
Be (0.000, 0.000, 0.166)
Ir (0.667, 0.333, 0.167)
W (0.333, 0.667, 0.667)

Results
The energy above the most stable polymorph in this dataset comes out at 48 meV/atom. Its density is 16.10 g cm⁻³. Its calculated formation energy is -0.77 eV per formula unit. For the density of states at the Fermi level, the calculation gives 0.4186 states/eV/atom.

---

9.
The following is a PBE-GGA calculation of an optimized crystal structure of Be2IrW, from Alexandria via LeMat-Bulk.

abc: 7.839 7.839 7.839
angles: 20.21 20.21 20.21
Positions (direct):
Be (0.506, 0.506, 0.506)
Be (0.994, 0.994, 0.994)
W (0.750, 0.750, 0.750)
Ir (0.250, 0.250, 0.250)

Results
The energy above the most stable polymorph in this dataset comes out at 346 meV/atom. Its density is 13.01 g cm⁻³. Its calculated formation energy is 0.31 eV per formula unit. For the density of states at the Fermi level, the calculation gives 0.9432 states/eV/atom.

---

10.
The following is a PBE-GGA calculation of an optimized crystal structure of Be2IrW, from Alexandria via LeMat-Bulk.

abc: 4.544 4.544 4.544
angles: 133.21 133.21 68.33
Positions (direct):
Be (0.250, 0.750, 0.500)
Be (0.000, 0.000, 0.000)
W (0.750, 0.250, 0.500)
Ir (0.500, 0.500, 0.000)

Results
The energy above the most stable polymorph in this dataset comes out at 191 meV/atom. Its density is 13.36 g cm⁻³. Its calculated formation energy is -0.31 eV per formula unit. For the density of states at the Fermi level, the calculation gives 0.5707 states/eV/atom.

---

11.
The following is a PBE-GGA calculation of an optimized crystal structure of BeZn2IrW, from Alexandria via LeMat-Bulk.

abc: 4.149 4.092 4.149
angles: 90.00 90.00 90.00
Positions (direct):
W (0.500, 0.500, 0.500)
Ir (0.000, 0.500, 0.000)
Zn (0.000, 0.000, 0.500)
Zn (0.500, 0.000, 0.000)
Be (0.000, 0.000, 0.000)

Results
Its density is 12.16 g cm⁻³. Its calculated formation energy is 3.36 eV per formula unit. For the density of states at the Fermi level, the calculation gives 0.7544 states/eV/atom.

---

12.
The following is a PBE-GGA calculation of an optimized crystal structure of BeZnIrW2, from Alexandria via LeMat-Bulk.

abc: 4.771 4.654 4.771
angles: 90.00 90.00 90.00
Site moments in Bohr magnetons follow the coordinates.
Positions (direct):
Ir (0.000, 0.000, 0.000)  -0.02
Be (0.500, 0.500, 0.500)  -0.03
W (0.000, 0.000, 0.500)  0.33
W (0.500, 0.000, 0.000)  0.41
Zn (0.000, 0.500, 0.000)  0.00

Results
Its density is 9.94 g cm⁻³. Its calculated formation energy is 9.17 eV per formula unit. For the density of states at the Fermi level, the calculation gives 0.9404 states/eV/atom.

---

Question: What is the formula in the eleventh record?
Answer: BeZn2IrW

---

Question: Look up the density of the tenth one.
Answer: 13.36 g cm⁻³

---

Question: What is the calculated formation energy in the first record?
Answer: 3.24 eV per formula unit